Material: Li4Hg2F9
Method: DFT, GGA-PBE
State: relaxed

a = 5.3103 Å, b = 5.3107 Å, c = 14.4811 Å
α = 88.29°, β = 88.32°, γ = 63.49°
With the nearest neighbours (Å) after each atom.
Sites, in units of the cell vectors:
Li1 0.1089 0.2026 0.3049  5 F 1.95-2.10
Li2 0.1510 0.1787 0.5094  6 F 1.99-2.13
Li3 0.1786 0.1509 0.0093  6 F 1.99-2.13
Li4 0.2028 0.1092 0.8048  5 F 1.95-2.10
Li5 0.7972 0.8908 0.1952  5 F 1.95-2.10
Li6 0.8214 0.8491 0.9907  6 F 1.99-2.13
Li7 0.8490 0.8213 0.4906  6 F 1.99-2.13
Li8 0.8911 0.7974 0.6951  5 F 1.95-2.10
Hg1 0.4494 0.5174 0.1313  5 F 2.16-2.40
Hg2 0.4820 0.5499 0.3683  5 F 2.16-2.40
Hg3 0.5180 0.4501 0.6317  5 F 2.16-2.40
Hg4 0.5506 0.4826 0.8687  5 F 2.16-2.40
F1 0.0740 0.9015 0.0901  3 Li 1.99-2.10, 1 Hg 2.20
F2 0.0774 0.5239 0.5893  3 Li 2.05-2.08, 1 Hg 2.29
F3 0.0990 0.9254 0.4100  3 Li 1.99-2.10, 1 Hg 2.20
F4 0.1333 0.5315 0.2379  2 Li 2.03-2.04, 1 Hg 2.22
F5 0.2009 0.4944 0.9517  2 Li 2.03-2.13, 1 Hg 2.16
F6 0.2365 0.7638 0.7500  2 Li 1.95
F7 0.4680 0.8664 0.2621  2 Li 2.03-2.04, 1 Hg 2.22
F8 0.4762 0.9235 0.9106  3 Li 2.05-2.08, 1 Hg 2.29
F9 0.4942 0.2000 0.4512  2 Li 2.03-2.13, 1 Hg 2.16
F10 0.5058 0.8000 0.5488  2 Li 2.03-2.13, 1 Hg 2.16
F11 0.5238 0.0765 0.0894  3 Li 2.05-2.08, 1 Hg 2.29
F12 0.5320 0.1336 0.7379  2 Li 2.03-2.04, 1 Hg 2.22
F13 0.7635 0.2362 0.2500  2 Li 1.95
F14 0.7991 0.5056 0.0483  2 Li 2.03-2.13, 1 Hg 2.16
F15 0.8667 0.4685 0.7621  2 Li 2.03-2.04, 1 Hg 2.22
F16 0.9010 0.0746 0.5900  3 Li 1.99-2.10, 1 Hg 2.20
F17 0.9226 0.4761 0.4107  3 Li 2.05-2.08, 1 Hg 2.29
F18 0.9260 0.0985 0.9099  3 Li 1.99-2.10, 1 Hg 2.20

Computed properties:
The space group is No. 2. As for the density of states at the Fermi level: 12.81 states/eV per cell. The value obtained for the uncorrected formation energy is -2.121 eV per atom. The calculated density is 5.5 g cm⁻³.